1.
## Nd2MnTcN5 (PBE)

Data for crystalline Nd2MnTcN5 at its relaxed geometry.

CIF file:
```
data_Nd2MnTcN5
_space_group_name_H-M_alt 'C m c 21'
_space_group_IT_number 36
_cell_length_a 3.353
_cell_length_b 13.815
_cell_length_c 9.922
_cell_angle_alpha 90.00
_cell_angle_beta 90.00
_cell_angle_gamma 90.00
loop_
_space_group_symop_operation_xyz
'x,y,z'
'-x,-y,z+1/2'
'-x,y,z'
'x,-y,z+1/2'
'x+1/2,y+1/2,z'
'-x+1/2,-y+1/2,z+1/2'
'-x+1/2,y+1/2,z'
'x+1/2,-y+1/2,z+1/2'
loop_
_atom_site_label
_atom_site_type_symbol
_atom_site_fract_x
_atom_site_fract_y
_atom_site_fract_z
_atom_site_occupancy
Nd1 Nd 0.000 0.121 0.000 1
Nd2 Nd 0.000 0.130 0.630 1
Mn1 Mn 0.000 0.441 0.759 1
Tc1 Tc 0.000 0.203 0.337 1
N1 N 0.000 0.035 0.328 1
N2 N 0.000 0.303 0.958 1
N3 N 0.000 0.317 0.688 1
N4 N 0.000 0.340 0.320 1
N5 N 0.000 0.498 0.599 1
```

Summary:
Energy, eV per cell: -306.30
Density of states at the Fermi level, states/eV/f.u.: 4.11


2.
## CaTiPb2 (PBE)

Data for crystalline CaTiPb2 at its relaxed geometry.

CIF file:
```
data_CaTiPb2
_space_group_name_H-M_alt 'P 4/m m m'
_space_group_IT_number 123
_space_group_name_Hall '-P 4 2'
_cell_length_a 3.812
_cell_length_b 3.812
_cell_length_c 7.122
_cell_angle_alpha 90.00
_cell_angle_beta 90.00
_cell_angle_gamma 90.00
loop_
_atom_site_label
_atom_site_type_symbol
_atom_site_fract_x
_atom_site_fract_y
_atom_site_fract_z
_atom_site_occupancy
Ca1 Ca 0.000 0.000 0.000 1
Ti1 Ti 0.000 0.000 0.500 1
Pb1 Pb 0.500 0.500 0.282 1
```

Summary:
ΔH_f (0 K), eV per atom: -0.1319
Density of states at the Fermi level, states/eV/f.u.: 2.16


3.
## Sm2RhS (PBE)

Data for crystalline Sm2RhS at its relaxed geometry.

CIF file:
```
data_Sm2RhS
_space_group_name_H-M_alt 'R 3 m'
_space_group_IT_number 160
_space_group_name_Hall 'R 3 -2"'
_cell_length_a 3.9435
_cell_length_b 3.9435
_cell_length_c 21.7095
_cell_angle_alpha 90.00
_cell_angle_beta 90.00
_cell_angle_gamma 120.00
loop_
_atom_site_label
_atom_site_type_symbol
_atom_site_fract_x
_atom_site_fract_y
_atom_site_fract_z
_atom_site_occupancy
Sm1 Sm 0.0000 0.0000 0.0000 1
Sm2 Sm 0.0000 0.0000 0.1774 1
Rh1 Rh 0.0000 0.0000 0.5891 1
S1 S 0.0000 0.0000 0.7560 1
```

Summary:
Energy above the lowest structure with this stoichiometry, meV per atom: 149
Density of states at the Fermi level, states/eV/f.u.: 2.29


Q: Which value of density of states at the Fermi level does entry 2 give?
A: 2.16 states/eV/f.u.